Compound: AcP2IrRh
Source: Alexandria
Functional: PBE-GGA
Structure: optimized geometry

abc: 3.9613 3.9613 12.0974
angles: 90.00 90.00 90.00
Last column: nearest neighbours and their distance in Å.
Space group I-4m2 (No. 119)
Symmetry-distinct sites (fractional):
Ac (0.0000, 0.0000, 0.0000) [2 per cell]  8 P 3.27, 4 Ir 3.62, 4 Rh 3.62
P (0.0000, 0.0000, 0.3598) [4 per cell]  2 Rh 2.38, 2 Ir 2.38
Ir (0.0000, 0.5000, 0.7500) [2 per cell]  4 P 2.38
Rh (0.0000, 0.5000, 0.2500) [2 per cell]  4 P 2.38

Properties
Final energy = -7.195 eV per atom
Energy of formation from the pure elements = -966 meV/atom
ρ = 10.22 Mg/m³